Ho4MnTl | GGA-PBE | optimized geometry

a b c (Å): 7.782 7.782 6.005
angles (deg): 99.28 99.28 111.87
Sites, in units of the cell vectors:
Ho: 0.059 0.728 0.955
Ho: 0.200 0.356 0.610
Ho: 0.272 0.941 0.545
Ho: 0.356 0.200 0.110
Ho: 0.644 0.800 0.890
Ho: 0.728 0.059 0.455
Ho: 0.800 0.644 0.390
Ho: 0.941 0.272 0.045
Mn: 0.001 0.999 0.750
Mn: 0.999 0.001 0.250
Tl: 0.374 0.626 0.250
Tl: 0.626 0.374 0.750

Values from the calculation:
For the density, the calculation gives 9.445 g/cm3. As for the space-group type: C2/c. The formation energy comes out at -0.09 eV/atom.